[1]
Ba2PaTl3S6 | GGA-PBE | relaxed

Results
The formation energy from raw total energies is -1.358 eV per atom. The calculation puts the magnetization at 0.00 μB/cell.

a = 7.701 Å, b = 7.701 Å, c = 7.732 Å
α = 99.34°, β = 99.34°, γ = 119.94°
Positions (direct):
Ba  0.167  0.833  0.000
Ba  0.833  0.167  0.000
Pa  0.500  0.500  0.000
Tl  0.000  0.000  0.500
Tl  0.342  0.658  0.500
Tl  0.658  0.342  0.500
S  0.147  0.430  0.794
S  0.285  0.285  0.217
S  0.430  0.147  0.794
S  0.570  0.853  0.206
S  0.715  0.715  0.783
S  0.853  0.570  0.206

---

[2]
SnTeIr | GGA-PBE | relaxed

Results
The formation energy from raw total energies is 0.053 eV per atom. The calculation puts the magnetization at 0.00 μB/cell.

a = 5.114 Å, b = 3.165 Å, c = 9.544 Å
α = 90.00°, β = 90.00°, γ = 90.00°
Positions (direct):
Sn  0.000  0.000  0.000
Sn  0.000  0.500  0.500
Te  0.500  0.000  0.798
Te  0.500  0.500  0.298
Ir  0.000  0.000  0.718
Ir  0.000  0.500  0.218

---

[3]
In2Rh | GGA-PBE | relaxed

Results
The formation energy comes out at 1.7 eV per formula unit. The calculation puts the magnetization at 0.00 μB/cell.

a = 5.597 Å, b = 5.597 Å, c = 5.597 Å
α = 60.00°, β = 60.00°, γ = 60.00°
Positions (direct):
In  0.000  0.000  0.000
In  0.000  0.000  0.500
In  0.000  0.500  0.000
In  0.500  0.000  0.000
Rh  0.375  0.375  0.375
Rh  0.625  0.625  0.625

---

[4]
NdSm6Al | GGA-PBE | relaxed

Results
The formation energy comes out at 1.7 eV per formula unit. As for the offset from the most stable computed form: 25.5 kJ per mole of atoms. The calculation puts the magnetization at 0.99 μB/cell.

a = 7.003 Å, b = 12.325 Å, c = 6.932 Å
α = 90.00°, β = 119.42°, γ = 90.00°
Positions (direct):
Nd  0.000  0.000  0.000
Nd  0.500  0.500  0.000
Sm  0.022  0.218  0.742
Sm  0.022  0.782  0.742
Sm  0.027  0.500  0.264
Sm  0.473  0.000  0.736
Sm  0.478  0.282  0.258
Sm  0.478  0.718  0.258
Sm  0.522  0.282  0.742
Sm  0.522  0.718  0.742
Sm  0.527  0.000  0.264
Sm  0.973  0.500  0.736
Sm  0.978  0.218  0.258
Sm  0.978  0.782  0.258
Al  0.000  0.000  0.500
Al  0.500  0.500  0.500

---

[5]
Na2HoTmSe4 | GGA-PBE | relaxed

Results
The formation energy from raw total energies is -1.703 eV per atom. The calculation puts the magnetization at 0.00 μB/cell.

a = 7.121 Å, b = 4.113 Å, c = 7.400 Å
α = 90.00°, β = 108.74°, γ = 90.00°
Positions (direct):
Na  0.000  0.000  0.000
Na  0.500  0.500  0.000
Ho  0.000  0.500  0.500
Tm  0.500  0.000  0.500
Se  0.245  0.000  0.728
Se  0.259  0.500  0.273
Se  0.741  0.500  0.727
Se  0.755  0.000  0.272

---

[6]
ScZnF | GGA-PBE | relaxed

Results
The formation energy from raw total energies is -1.568 eV per atom. The calculation puts the magnetization at 0.00 μB/cell.

a = 12.647 Å, b = 3.329 Å, c = 5.768 Å
α = 90.00°, β = 90.00°, γ = 90.00°
Positions (direct):
Sc  0.161  0.000  0.000
Sc  0.161  0.500  0.500
Sc  0.839  0.000  0.000
Sc  0.839  0.500  0.500
Zn  0.000  0.000  0.333
Zn  0.000  0.500  0.833
Zn  0.500  0.000  0.344
Zn  0.500  0.500  0.844
F  0.245  0.000  0.667
F  0.245  0.500  0.167
F  0.755  0.000  0.667
F  0.755  0.500  0.167

---

[7]
Tc2Sb | GGA-PBE | relaxed

Results
The formation energy from raw total energies is 0.539 eV per atom. As for the offset from the most stable computed form: 41.8 kJ per mole of atoms. The calculation puts the magnetization at 0.00 μB/cell.

a = 5.960 Å, b = 5.960 Å, c = 5.972 Å
α = 90.00°, β = 90.00°, γ = 90.00°
Positions (direct):
Tc  0.140  0.360  0.000
Tc  0.140  0.640  0.500
Tc  0.360  0.140  0.500
Tc  0.360  0.860  0.000
Tc  0.640  0.140  0.000
Tc  0.640  0.860  0.500
Tc  0.860  0.360  0.500
Tc  0.860  0.640  0.000
Sb  0.000  0.000  0.250
Sb  0.000  0.000  0.750
Sb  0.500  0.500  0.250
Sb  0.500  0.500  0.750

---

[8]
Ba2Tl6PdPb | GGA-PBE | relaxed

Results
The formation energy comes out at -2.0 eV per formula unit. The calculation puts the magnetization at 0.00 μB/cell.

a = 14.181 Å, b = 14.181 Å, c = 14.181 Å
α = 31.20°, β = 31.20°, γ = 31.20°
Positions (direct):
Ba  0.105  0.105  0.105
Ba  0.279  0.279  0.279
Ba  0.721  0.721  0.721
Ba  0.895  0.895  0.895
Tl  0.081  0.666  0.666
Tl  0.218  0.218  0.652
Tl  0.218  0.652  0.218
Tl  0.334  0.334  0.919
Tl  0.334  0.919  0.334
Tl  0.348  0.782  0.782
Tl  0.652  0.218  0.218
Tl  0.666  0.081  0.666
Tl  0.666  0.666  0.081
Tl  0.782  0.348  0.782
Tl  0.782  0.782  0.348
Tl  0.919  0.334  0.334
Pd  0.000  0.000  0.000
Pd  0.500  0.500  0.500
Pb  0.426  0.426  0.426
Pb  0.574  0.574  0.574

---

[9]
InOsAu2 | GGA-PBE | relaxed

Results
The formation energy comes out at 1.6 eV per formula unit. The calculation puts the magnetization at 0.39 μB/cell.

a = 9.511 Å, b = 3.025 Å, c = 5.044 Å
α = 90.00°, β = 102.36°, γ = 90.00°
Positions (direct):
In  0.000  0.000  0.000
In  0.500  0.500  0.000
Os  0.246  0.500  0.216
Os  0.746  0.000  0.216
Au  0.244  0.000  0.713
Au  0.489  0.000  0.485
Au  0.744  0.500  0.713
Au  0.989  0.500  0.485

---

[10]
TaTlSb | GGA-PBE | relaxed

Results
The formation energy from raw total energies is 0.978 eV per atom. As for the offset from the most stable computed form: 61.4 kJ per mole of atoms. The calculation puts the magnetization at 1.68 μB/cell.

a = 6.857 Å, b = 6.857 Å, c = 6.857 Å
α = 90.00°, β = 90.00°, γ = 90.00°
Positions (direct):
Ta  0.000  0.000  0.000
Ta  0.000  0.500  0.500
Ta  0.500  0.000  0.500
Ta  0.500  0.500  0.000
Tl  0.000  0.000  0.500
Tl  0.000  0.500  0.000
Tl  0.500  0.000  0.000
Tl  0.500  0.500  0.500
Sb  0.250  0.250  0.750
Sb  0.250  0.750  0.250
Sb  0.750  0.250  0.250
Sb  0.750  0.750  0.750

---

[11]
Np3Pb2S8 | GGA-PBE | relaxed

Results
The formation energy from raw total energies is -1.018 eV per atom. The calculation puts the magnetization at 9.00 μB/cell.

a = 8.124 Å, b = 8.124 Å, c = 6.881 Å
α = 106.31°, β = 106.31°, γ = 59.24°
Positions (direct):
Np  0.000  0.000  0.000
Np  0.256  0.744  0.500
Np  0.744  0.256  0.500
Pb  0.264  0.264  0.836
Pb  0.736  0.736  0.164
S  0.105  0.105  0.405
S  0.118  0.658  0.102
S  0.342  0.882  0.898
S  0.389  0.389  0.560
S  0.611  0.611  0.440
S  0.658  0.118  0.102
S  0.882  0.342  0.898
S  0.895  0.895  0.595

---

[12]
KFeP | GGA-PBE | relaxed

Results
The formation energy comes out at 2.1 eV per formula unit. The calculation puts the magnetization at 16.01 μB/cell.

a = 6.620 Å, b = 6.620 Å, c = 6.620 Å
α = 90.00°, β = 90.00°, γ = 90.00°
Positions (direct):
K  0.000  0.000  0.000
K  0.000  0.500  0.500
K  0.500  0.000  0.500
K  0.500  0.500  0.000
Fe  0.000  0.000  0.500
Fe  0.000  0.500  0.000
Fe  0.500  0.000  0.000
Fe  0.500  0.500  0.500
P  0.250  0.250  0.250
P  0.250  0.750  0.750
P  0.750  0.250  0.750
P  0.750  0.750  0.250

---

[13]
BaCo2Tc | GGA-PBE | relaxed

Results
The formation energy comes out at 4.8 eV per formula unit. As for the offset from the most stable computed form: 81.8 kJ per mole of atoms. The calculation puts the magnetization at 19.14 μB/cell.

a = 6.578 Å, b = 6.578 Å, c = 6.578 Å
α = 90.00°, β = 90.00°, γ = 90.00°
Positions (direct):
Ba  0.000  0.000  0.000
Ba  0.000  0.500  0.500
Ba  0.500  0.000  0.500
Ba  0.500  0.500  0.000
Co  0.000  0.000  0.500
Co  0.000  0.500  0.000
Co  0.250  0.250  0.750
Co  0.250  0.750  0.250
Co  0.500  0.000  0.000
Co  0.500  0.500  0.500
Co  0.750  0.250  0.250
Co  0.750  0.750  0.750
Tc  0.250  0.250  0.250
Tc  0.250  0.750  0.750
Tc  0.750  0.250  0.750
Tc  0.750  0.750  0.250

---

[14]
AcLaZnCd | GGA-PBE | relaxed

Results
The formation energy comes out at -1.1 eV per formula unit. As for the offset from the most stable computed form: 2.2 kJ per mole of atoms. The calculation puts the magnetization at 0.00 μB/cell.

a = 7.853 Å, b = 7.853 Å, c = 7.853 Å
α = 90.00°, β = 90.00°, γ = 90.00°
Positions (direct):
Ac  0.000  0.000  0.000
Ac  0.000  0.500  0.500
Ac  0.500  0.000  0.500
Ac  0.500  0.500  0.000
La  0.000  0.000  0.500
La  0.000  0.500  0.000
La  0.500  0.000  0.000
La  0.500  0.500  0.500
Zn  0.250  0.250  0.750
Zn  0.250  0.750  0.250
Zn  0.750  0.250  0.250
Zn  0.750  0.750  0.750
Cd  0.250  0.250  0.250
Cd  0.250  0.750  0.750
Cd  0.750  0.250  0.750
Cd  0.750  0.750  0.250

---

[15]
Ca2GdHo | GGA-PBE | relaxed

Results
The formation energy comes out at 0.7 eV per formula unit. As for the offset from the most stable computed form: 0.8 kJ per mole of atoms. The calculation puts the magnetization at 7.58 μB/cell.

a = 4.015 Å, b = 4.015 Å, c = 8.852 Å
α = 90.00°, β = 90.00°, γ = 90.00°
Positions (direct):
Ca  0.000  0.000  0.246
Ca  0.000  0.000  0.754
Gd  0.500  0.500  0.500
Ho  0.500  0.500  0.000

---

[16]
Ce8HoPb6 | GGA-PBE | relaxed

Results
The formation energy comes out at -3.1 eV per formula unit. The calculation puts the magnetization at 10.51 μB/cell.

a = 8.564 Å, b = 8.564 Å, c = 8.564 Å
α = 67.47°, β = 67.47°, γ = 67.47°
Positions (direct):
Ce  0.063  0.748  0.408
Ce  0.166  0.166  0.166
Ce  0.252  0.592  0.937
Ce  0.408  0.063  0.748
Ce  0.592  0.937  0.252
Ce  0.748  0.408  0.063
Ce  0.834  0.834  0.834
Ce  0.937  0.252  0.592
Ho  0.500  0.500  0.500
Pb  0.104  0.426  0.751
Pb  0.249  0.896  0.574
Pb  0.426  0.751  0.104
Pb  0.574  0.249  0.896
Pb  0.751  0.104  0.426
Pb  0.896  0.574  0.249

---

[17]
LaIn2Re | GGA-PBE | relaxed

Results
The formation energy comes out at 3.0 eV per formula unit. As for the offset from the most stable computed form: 55.9 kJ per mole of atoms. The calculation puts the magnetization at 1.10 μB/cell.

a = 3.063 Å, b = 3.063 Å, c = 34.574 Å
α = 90.00°, β = 90.00°, γ = 120.00°
Positions (direct):
La  0.000  0.000  0.000
La  0.333  0.667  0.667
La  0.667  0.333  0.333
In  0.000  0.000  0.420
In  0.000  0.000  0.580
In  0.333  0.667  0.086
In  0.333  0.667  0.247
In  0.667  0.333  0.753
In  0.667  0.333  0.914
Re  0.000  0.000  0.500
Re  0.333  0.667  0.167
Re  0.667  0.333  0.833

---

no.,calculated volume (Å³/cell)
1,376
2,154
3,124
4,521
5,205
6,243
7,212
8,679
9,142
10,322
11,369
12,290
13,285
14,484
15,143
16,515
17,281